A:
{
  "formula": "CaZrOs",
  "functional": "PBE",
  "state": "relaxed",
  "cell": [[-0.293, -6.736, -0.841], [2.374, -5.805, -2.616], [2.004, -1.210, 2.377]],
  "species": ["Ca", "Zr", "Os"],
  "frac_coords": [[0.973, 0.973, 0.027], [0.711, 0.711, 0.289], [0.316, 0.316, 0.684]],
  "crystal_system": "tetragonal"
}

=====

B:
{
  "formula": "CaZrOs",
  "functional": "PBE",
  "state": "relaxed",
  "cell": [[4.294, 0.000, 0.000], [0.000, 21.818, 0.000], [0.000, 0.000, 3.272]],
  "species": ["Os", "Os", "Os", "Os", "Zr", "Zr", "Zr", "Zr", "Ca", "Ca", "Ca", "Ca"],
  "frac_coords": [[0.000, 0.953, 0.750], [0.500, 0.547, 0.250], [0.500, 0.453, 0.750], [0.000, 0.047, 0.250], [0.500, 0.932, 0.250], [0.500, 0.068, 0.750], [0.000, 0.432, 0.250], [0.000, 0.568, 0.750], [0.500, 0.684, 0.250], [0.000, 0.816, 0.750], [0.000, 0.184, 0.250], [0.500, 0.316, 0.750]],
  "crystal_system": "orthorhombic"
}

=====

C:
{
  "formula": "CaZrOs",
  "functional": "PBE",
  "state": "relaxed",
  "cell": [[3.408, 0.000, 0.000], [0.000, 3.408, 0.000], [0.000, 0.000, 11.964]],
  "species": ["Ca", "Ca", "Os", "Os", "Zr", "Zr"],
  "frac_coords": [[0.000, 0.500, 0.363], [0.500, 0.000, 0.637], [0.500, 0.000, 0.198], [0.000, 0.500, 0.802], [0.500, 0.000, 0.911], [0.000, 0.500, 0.089]],
  "crystal_system": "tetragonal"
}

=====

Relative energy table, unit meV/atom: A 51; B 64; C 0

=====

A:
{
  "formula": "CaZrOs",
  "functional": "PBE",
  "state": "relaxed",
  "cell": [[-1.896, 0.954, -2.472], [2.350, -2.717, -2.850], [-5.604, -8.209, 3.205]],
  "species": ["Ca", "Ca", "Os", "Os", "Zr", "Zr"],
  "frac_coords": [[0.675, 0.250, 0.355], [0.325, 0.750, 0.645], [0.949, 0.750, 0.894], [0.051, 0.250, 0.106], [0.555, 0.750, 0.114], [0.445, 0.250, 0.886]],
  "crystal_system": "monoclinic"
}

=====

B:
{
  "formula": "CaZrOs",
  "functional": "PBE",
  "state": "relaxed",
  "cell": [[4.653, 0.000, 0.000], [2.327, 4.030, 0.000], [2.327, 1.343, 3.799]],
  "species": ["Zr", "Os", "Ca"],
  "frac_coords": [[0.000, 0.000, 0.000], [0.750, 0.750, 0.750], [0.500, 0.500, 0.500]],
  "crystal_system": "cubic"
}

=====

Relative energy table, unit meV/atom: A 0; B 301

=====

A:
{
  "formula": "Ca3ZrOs",
  "functional": "PBE",
  "state": "relaxed",
  "cell": [[-4.368, 3.224, -0.145], [-2.711, -3.534, 3.107], [1.750, 2.572, 4.452]],
  "species": ["Zr", "Ca", "Ca", "Ca", "Os"],
  "frac_coords": [[0.000, 0.000, 0.000], [0.000, 0.500, 0.000], [0.000, 0.000, 0.500], [0.500, 0.000, 0.000], [0.500, 0.500, 0.500]],
  "crystal_system": "cubic"
}

=====

B:
{
  "formula": "Ca3ZrOs",
  "functional": "PBE",
  "state": "relaxed",
  "cell": [[5.471, 0.000, 0.000], [0.000, 5.471, 0.000], [0.000, 0.000, 5.471]],
  "species": ["Ca", "Ca", "Ca", "Os", "Zr"],
  "frac_coords": [[0.500, 0.000, 0.000], [0.000, 0.500, 0.000], [0.000, 0.000, 0.500], [0.000, 0.000, 0.000], [0.500, 0.500, 0.500]],
  "crystal_system": "cubic"
}

=====

Relative energy table, unit meV/atom: A 1013; B 0

=====

A:
{
  "formula": "Ca3P",
  "functional": "PBE",
  "state": "relaxed",
  "cell": [[-6.490, -1.273, -0.813], [1.028, -0.507, -7.409], [1.789, -9.707, 0.913]],
  "species": ["Ca", "Ca", "Ca", "Ca", "Ca", "Ca", "Ca", "Ca", "Ca", "Ca", "Ca", "Ca", "P", "P", "P", "P"],
  "frac_coords": [[0.676, 0.174, 0.930], [0.676, 0.174, 0.570], [0.324, 0.826, 0.070], [0.841, 0.952, 0.250], [0.824, 0.674, 0.930], [0.176, 0.326, 0.070], [0.159, 0.048, 0.750], [0.659, 0.452, 0.250], [0.341, 0.548, 0.750], [0.176, 0.326, 0.430], [0.824, 0.674, 0.570], [0.324, 0.826, 0.430], [0.561, 0.882, 0.750], [0.439, 0.118, 0.250], [0.061, 0.618, 0.250], [0.939, 0.382, 0.750]],
  "crystal_system": "orthorhombic"
}

=====

B:
{
  "formula": "Ca3P",
  "functional": "PBE",
  "state": "relaxed",
  "cell": [[3.865, 0.000, 0.000], [0.000, 3.997, 0.000], [0.000, 0.000, 9.340]],
  "species": ["P", "Ca", "Ca", "Ca"],
  "frac_coords": [[0.000, 0.000, 0.003], [0.500, 0.500, 0.088], [0.500, 0.000, 0.779], [0.000, 0.500, 0.464]],
  "crystal_system": "orthorhombic"
}

=====

C:
{
  "formula": "Ca3P",
  "functional": "PBE",
  "state": "relaxed",
  "cell": [[-1.475, -3.956, -3.659], [4.408, 1.297, -3.178], [3.100, -3.726, 2.779]],
  "species": ["Ca", "Ca", "Ca", "P"],
  "frac_coords": [[0.500, 0.000, 0.000], [0.000, 0.000, 0.500], [0.000, 0.500, 0.000], [0.000, 0.000, 0.000]],
  "crystal_system": "cubic"
}

=====

D:
{
  "formula": "Ca3P",
  "functional": "PBE",
  "state": "relaxed",
  "cell": [[4.510, 8.945, 5.669], [-1.254, 10.934, 3.374], [-3.069, -10.951, -1.780]],
  "species": ["Ca", "Ca", "Ca", "Ca", "Ca", "Ca", "P", "P"],
  "frac_coords": [[0.881, 0.881, 0.000], [0.000, 0.500, 0.500], [0.750, 0.250, 0.500], [0.500, 0.000, 0.500], [0.250, 0.750, 0.500], [0.119, 0.119, 0.000], [0.405, 0.405, 0.000], [0.595, 0.595, 0.000]],
  "crystal_system": "tetragonal"
}

=====

Relative energy table, unit meV/atom: A 0; B 188; C 205; D 239

=====

A:
{
  "formula": "Ca3P",
  "functional": "PBE",
  "state": "relaxed",
  "cell": [[2.362, 4.663, 4.341], [-3.414, 1.941, -5.545], [-4.619, -0.232, 2.763]],
  "species": ["Ca", "Ca", "Ca", "Ca", "Ca", "Ca", "P", "P"],
  "frac_coords": [[0.347, 0.173, 0.250], [0.653, 0.827, 0.750], [0.173, 0.827, 0.750], [0.827, 0.653, 0.250], [0.173, 0.347, 0.750], [0.827, 0.173, 0.250], [0.667, 0.333, 0.750], [0.333, 0.667, 0.250]],
  "crystal_system": "hexagonal"
}

=====

B:
{
  "formula": "Ca3P",
  "functional": "PBE",
  "state": "relaxed",
  "cell": [[4.084, 0.000, 0.000], [-2.042, 3.537, 0.000], [0.000, 0.000, 10.112]],
  "species": ["Ca", "Ca", "Ca", "P"],
  "frac_coords": [[0.667, 0.333, 0.250], [0.000, 0.000, 0.593], [0.000, 0.000, 0.907], [0.667, 0.333, 0.750]],
  "crystal_system": "hexagonal"
}

=====

Relative energy table, unit meV/atom: A 210; B 0

=====

A:
{
  "formula": "Ca3P",
  "functional": "PBE",
  "state": "relaxed",
  "cell": [[3.695, 0.000, 0.000], [0.000, 4.838, 0.000], [-1.847, -2.419, 6.982]],
  "species": ["Ca", "Ca", "Ca", "P"],
  "frac_coords": [[0.500, 0.417, 0.000], [0.335, 0.752, 0.670], [0.665, 0.081, 0.330], [0.000, 0.917, 0.000]],
  "crystal_system": "orthorhombic"
}

=====

B:
{
  "formula": "Ca3P",
  "functional": "PBE",
  "state": "relaxed",
  "cell": [[-5.201, 1.113, 3.292], [-5.477, -1.581, -2.574], [5.558, -2.699, 0.977]],
  "species": ["Ca", "Ca", "Ca", "P"],
  "frac_coords": [[0.500, 0.500, 0.000], [0.250, 0.750, 0.500], [0.750, 0.250, 0.500], [0.000, 0.000, 0.000]],
  "crystal_system": "tetragonal"
}

=====

Relative energy table, unit meV/atom: A 0; B 308